Entry 1:
A plane-wave DFT calculation with GGA-PBE was carried out for InIN2O after structural relaxation.

CIF file:
```
data_InIN2O
_chemical_formula_sum 'In1 I1 N2 O1'
_cell_length_a 4.300
_cell_length_b 4.300
_cell_length_c 4.143
_cell_angle_alpha 90.00
_cell_angle_beta 90.00
_cell_angle_gamma 90.00
_symmetry_space_group_name_H-M 'P 4/m m m'
_symmetry_Int_Tables_number 123
_symmetry_space_group_name_Hall '-P 4 2'
loop_
_atom_site_label
_atom_site_fract_x
_atom_site_fract_y
_atom_site_fract_z
In1 0.000 0.000 0.000
I1 0.500 0.500 0.500
N1 0.000 0.500 0.000
O1 0.000 0.000 0.500
```

Calculated values
ρ (kg/m3): 6195
V (A^3/atom): 15.3
Uncorrected formation energy (meV per atom): 1442
DOS at the Fermi energy (states/eV/cell): 6.047


Entry 2:
A plane-wave DFT calculation with GGA-PBE was carried out for Nb2Ge after structural relaxation.

CIF file:
```
data_Nb2Ge
_chemical_formula_sum 'Nb4 Ge2'
_cell_length_a 5.784
_cell_length_b 5.784
_cell_length_c 3.797
_cell_angle_alpha 90.00
_cell_angle_beta 90.00
_cell_angle_gamma 90.00
_symmetry_space_group_name_H-M 'P 42/m n m'
_symmetry_Int_Tables_number 136
_symmetry_space_group_name_Hall '-P 4n 2n'
loop_
_atom_site_label
_atom_site_fract_x
_atom_site_fract_y
_atom_site_fract_z
Nb1 0.200 0.200 0.000
Ge1 0.000 0.000 0.500
```

Calculated values
ρ (kg/m3): 6757
V (A^3/atom): 21.2
Energy of formation from the pure elements (eV/atom): 0.540
DOS at the Fermi energy (states/eV/cell): 3.947